# Pa3MnS2O6, optimized geometry, DFT GGA+U
# Mass density (Mg/m³): 6.332
# Total moment (Bohr magnetons per cell): 7.8
# VASP energy (eV per cell): -212.3
data_Pa3MnS2O6
_symmetry_space_group_name_H-M 'C 1 2/m 1'
_symmetry_Int_Tables_number 12
_cell_length_a 11.9082
_cell_length_b 7.4454
_cell_length_c 5.5221
_cell_angle_alpha 90.00
_cell_angle_beta 103.38
_cell_angle_gamma 90.00
loop_
_symmetry_equiv_pos_as_xyz
'x,y,z'
'-x,-y,-z'
'-x,y,-z'
'x,-y,z'
'x+1/2,y+1/2,z'
'-x+1/2,-y+1/2,-z'
'-x+1/2,y+1/2,-z'
'x+1/2,-y+1/2,z'
loop_
_atom_site_label
_atom_site_fract_x
_atom_site_fract_y
_atom_site_fract_z
Pa1 0.0000 0.0000 0.0000
Pa2 0.2500 0.2500 0.5000
Mn1 0.0000 0.5000 0.5000
S1 0.1984 0.0000 0.8255
O1 0.0821 0.2043 0.2647
O2 0.1694 0.5000 0.6025